Entry 1:
# NaAlFe3 (PBE, optimized geometry)
data_NaAlFe3
_cell_length_a 4.381
_cell_length_b 4.381
_cell_length_c 4.381
_cell_angle_alpha 90.00
_cell_angle_beta 90.00
_cell_angle_gamma 90.00
_symmetry_space_group_name_H-M 'P m -3 m'
_symmetry_Int_Tables_number 221
_symmetry_space_group_name_Hall '-P 4 2 3'
loop_
_atom_site_label
_atom_site_type_symbol
_atom_site_fract_x
_atom_site_fract_y
_atom_site_fract_z
_atom_site_occupancy
Na1 Na 0.000 0.000 0.000 1
Al1 Al 0.500 0.500 0.500 1
Fe1 Fe 0.000 0.000 0.500 1
# **Electronic total energy**: -4.3760 eV/atom
# **Total moment**: 1.57 μB per atom

***

Entry 2:
# Sm3Dy5S8 (PBE, optimized geometry)
data_Sm3Dy5S8
_cell_length_a 7.8778
_cell_length_b 7.8778
_cell_length_c 19.3946
_cell_angle_alpha 90.00
_cell_angle_beta 90.00
_cell_angle_gamma 120.00
_symmetry_space_group_name_H-M 'R -3 m'
_symmetry_Int_Tables_number 166
_symmetry_space_group_name_Hall '-R 3 2"'
loop_
_atom_site_label
_atom_site_type_symbol
_atom_site_fract_x
_atom_site_fract_y
_atom_site_fract_z
_atom_site_occupancy
Sm1 Sm 0.0000 0.5000 0.0000 1
Dy1 Dy 0.0000 0.0000 0.0000 1
Dy2 Dy 0.0000 0.0000 0.5000 1
Dy3 Dy 0.0000 0.5000 0.5000 1
S1 S 0.0000 0.0000 0.2465 1
S2 S 0.0045 0.5023 0.7523 1
# **Electronic total energy**: -6.3874 eV/atom
# **Total moment**: 0.00 μB per atom